Computed, not measured: Ba5Co5O14 after structural relaxation at the PBE with a Hubbard U level of DFT.

Computed properties:
VASP energy = -6.0623 eV per atom

Lattice parameters (Å, degrees): 5.652 5.652 11.853 90.06 90.06 60.01
Atoms (fractional coordinates):
Ba (0.000, 0.000, 0.000)
Ba (0.332, 0.332, 0.227)
Ba (0.334, 0.334, 0.582)
Ba (0.666, 0.666, 0.418)
Ba (0.668, 0.668, 0.773)
Co (0.000, 0.000, 0.500)
Co (0.001, 0.001, 0.707)
Co (0.334, 0.334, 0.861)
Co (0.666, 0.666, 0.139)
Co (0.999, 0.999, 0.293)
O (0.148, 0.148, 0.399)
O (0.148, 0.702, 0.398)
O (0.163, 0.163, 0.803)
O (0.163, 0.676, 0.803)
O (0.298, 0.852, 0.602)
O (0.324, 0.837, 0.197)
O (0.331, 0.331, 0.007)
O (0.669, 0.669, 0.993)
O (0.676, 0.163, 0.803)
O (0.702, 0.148, 0.398)
O (0.837, 0.324, 0.197)
O (0.837, 0.837, 0.197)
O (0.852, 0.298, 0.602)
O (0.852, 0.852, 0.601)